Model i:
Below is Cd2PbSe after structural relaxation, with properties calculated at the PBE-GGA level.

POSCAR file:
```
Cd2PbSe
1.0
2.4639 -2.6709 0.0000
2.4639 2.6709 0.0000
0.0000 0.0000 7.7185
Cd Pb Se
2 1 1
Cartesian
0.0000 0.0000 1.6014 Cd
0.0000 0.0000 6.1171 Cd
2.4639 0.0000 3.8593 Pb
2.4639 0.0000 0.0000 Se
```

Summary:
**Calculated volume**: 25.4 A^3/atom
**Mass density**: 8.353 g cm⁻³
**D(E_F)**: 1.9 states/eV per cell


Model ii:
Below is Cd2PbSe after structural relaxation, with properties calculated at the PBE-GGA level.

POSCAR file:
```
Cd2PbSe
1.0
-1.9185 2.5969 5.1903
1.9185 -2.5969 5.1903
1.9185 2.5969 -5.1903
Cd Pb Se
2 1 1
Cartesian
0.0000 0.0000 0.0000 Cd
0.0000 2.5969 2.5043 Cd
0.0000 0.0000 4.6369 Pb
1.9185 0.0000 2.1705 Se
```

Summary:
**Calculated volume**: 25.9 A^3/atom
**Mass density**: 8.203 g cm⁻³
**D(E_F)**: 1.6 states/eV per cell


Short version: model ii is the least stable of them.


Model i:
Below is Cd2PbSe after structural relaxation, with properties calculated at the PBE-GGA level.

POSCAR file:
```
Cd2PbSe
1.0
4.6159 -2.0922 0.0000
4.6159 2.0922 0.0000
-2.1160 0.0000 5.7476
Cd Pb Se
2 1 1
Cartesian
0.0000 0.0000 0.0000 Cd
0.5296 0.0000 4.5607 Cd
6.6081 0.0000 1.4478 Pb
3.0666 0.0000 3.3795 Se
```

Summary:
**Calculated volume**: 27.8 A^3/atom
**Mass density**: 7.643 g cm⁻³
**D(E_F)**: 0.8 states/eV per cell


Model ii:
Below is Cd2PbSe after structural relaxation, with properties calculated at the PBE-GGA level.

POSCAR file:
```
Cd2PbSe
1.0
0.0000 3.7572 3.7572
3.7572 0.0000 3.7572
3.7572 3.7572 0.0000
Cd Pb Se
2 1 1
Cartesian
0.0000 0.0000 0.0000 Cd
1.8786 1.8786 1.8786 Cd
5.6358 5.6358 5.6358 Pb
3.7572 3.7572 3.7572 Se
```

Summary:
**Calculated volume**: 26.5 A^3/atom
**Mass density**: 7.999 g cm⁻³
**D(E_F)**: 2.6 states/eV per cell


Short version: model ii is the least stable of them.


Model i:
Below is Cd2PbSe after structural relaxation, with properties calculated at the PBE-GGA level.

POSCAR file:
```
Cd2PbSe
1.0
4.2976 0.0000 0.0000
0.0000 4.2976 0.0000
0.0000 0.0000 5.9070
Cd Pb Se
2 1 1
Cartesian
0.0000 2.1488 0.0000 Cd
2.1488 0.0000 0.0000 Cd
0.0000 0.0000 2.9535 Pb
2.1488 2.1488 2.9535 Se
```

Summary:
**Calculated volume**: 27.3 A^3/atom
**Mass density**: 7.777 g cm⁻³
**D(E_F)**: 0.3 states/eV per cell


Model ii:
Below is Cd2PbSe after structural relaxation, with properties calculated at the PBE-GGA level.

POSCAR file:
```
Cd2PbSe
1.0
2.0200 1.1662 7.7656
-2.0200 1.1662 7.7656
0.0000 -2.3325 7.7656
Cd Pb Se
2 1 1
Cartesian
0.0000 0.0000 0.0000 Cd
0.0000 0.0000 5.8793 Cd
0.0000 0.0000 11.3644 Pb
0.0000 0.0000 17.2055 Se
```

Summary:
**Calculated volume**: 27.4 A^3/atom
**Mass density**: 7.730 g cm⁻³
**D(E_F)**: 2.3 states/eV per cell


Short version: model i is the least stable of them.


Model i:
Below is CdPb3Se after structural relaxation, with properties calculated at the PBE-GGA level.

POSCAR file:
```
CdPb3Se
1.0
5.7178 0.0000 0.0000
0.0000 5.7178 0.0000
0.0000 0.0000 5.7178
Cd Pb Se
1 3 1
Cartesian
0.0000 0.0000 0.0000 Cd
0.0000 2.8589 2.8589 Pb
2.8589 0.0000 2.8589 Pb
2.8589 2.8589 0.0000 Pb
2.8589 2.8589 2.8589 Se
```

Summary:
**Calculated volume**: 37.4 A^3/atom
**Mass density**: 7.222 g cm⁻³
**D(E_F)**: 3.3 states/eV per cell


Model ii:
Below is CdPb3Se after structural relaxation, with properties calculated at the PBE-GGA level.

POSCAR file:
```
CdPb3Se
1.0
5.6256 0.0000 0.0000
0.0000 5.6256 0.0000
0.0000 0.0000 5.6256
Cd Pb Se
1 3 1
Cartesian
0.0000 0.0000 0.0000 Cd
0.0000 0.0000 2.8128 Pb
0.0000 2.8128 0.0000 Pb
2.8128 0.0000 0.0000 Pb
2.8128 2.8128 2.8128 Se
```

Summary:
**Calculated volume**: 35.6 A^3/atom
**Mass density**: 7.583 g cm⁻³
**D(E_F)**: 2.8 states/eV per cell


Short version: model ii is the least stable of them.


Model i:
Below is Cd2PbSe2 after structural relaxation, with properties calculated at the PBE-GGA level.

POSCAR file:
```
Cd2PbSe2
1.0
-2.0738 2.0738 7.5875
2.0738 -2.0738 7.5875
2.0738 2.0738 -7.5875
Cd Pb Se
2 1 2
Cartesian
2.0738 0.0000 3.7937 Cd
0.0000 2.0738 3.7937 Cd
0.0000 0.0000 0.0000 Pb
0.0000 0.0000 6.0616 Se
0.0000 0.0000 9.1133 Se
```

Summary:
**Calculated volume**: 26.1 A^3/atom
**Mass density**: 7.505 g cm⁻³
**D(E_F)**: 1.6 states/eV per cell


Model ii:
Below is Cd2PbSe2 after structural relaxation, with properties calculated at the PBE-GGA level.

POSCAR file:
```
Cd2PbSe2
1.0
8.1686 0.0000 0.0000
0.0000 8.1686 0.0000
0.0000 0.0000 3.8119
Cd Pb Se
4 2 4
Cartesian
1.1213 2.9631 0.0000 Cd
2.9631 7.0474 0.0000 Cd
5.2056 1.1213 0.0000 Cd
7.0474 5.2056 0.0000 Cd
0.0000 0.0000 1.9059 Pb
4.0843 4.0843 1.9059 Pb
1.3730 5.4573 1.9059 Se
2.7113 1.3730 1.9059 Se
5.4573 6.7956 1.9059 Se
6.7956 2.7113 1.9059 Se
```

Summary:
**Calculated volume**: 25.4 A^3/atom
**Mass density**: 7.703 g cm⁻³
**D(E_F)**: 4.1 states/eV per cell


Model iii:
Below is Cd2PbSe2 after structural relaxation, with properties calculated at the PBE-GGA level.

POSCAR file:
```
Cd2PbSe2
1.0
8.1002 0.0000 0.0000
0.0000 8.1002 0.0000
0.0000 0.0000 3.8825
Cd Pb Se
4 2 4
Cartesian
0.9791 3.0710 0.0000 Cd
3.0710 7.1211 0.0000 Cd
5.0292 0.9791 0.0000 Cd
7.1211 5.0292 0.0000 Cd
0.0000 0.0000 0.0000 Pb
4.0501 4.0501 0.0000 Pb
1.6402 5.6904 1.9413 Se
2.4099 1.6402 1.9413 Se
5.6904 6.4600 1.9413 Se
6.4600 2.4099 1.9413 Se
```

Summary:
**Calculated volume**: 25.5 A^3/atom
**Mass density**: 7.691 g cm⁻³
**D(E_F)**: 4.2 states/eV per cell


Model iv:
Below is Cd2PbSe2 after structural relaxation, with properties calculated at the PBE-GGA level.

POSCAR file:
```
Cd2PbSe2
1.0
-2.6651 2.6651 4.6884
2.6651 -2.6651 4.6884
2.6651 2.6651 -4.6884
Cd Pb Se
2 1 2
Cartesian
0.0000 0.0000 1.3599 Cd
0.0000 0.0000 8.0170 Cd
0.0000 0.0000 4.6884 Pb
2.6651 0.0000 2.3442 Se
0.0000 2.6651 2.3442 Se
```

Summary:
**Calculated volume**: 26.6 A^3/atom
**Mass density**: 7.354 g cm⁻³
**D(E_F)**: 2.3 states/eV per cell


Short version: model i is the least stable of them.


Model i:
Below is CdPb3Se4 after structural relaxation, with properties calculated at the PBE-GGA level.

POSCAR file:
```
CdPb3Se4
1.0
2.1549 1.2441 14.0212
-2.1549 1.2441 14.0212
0.0000 -2.4882 14.0212
Cd Pb Se
1 3 4
Cartesian
0.0000 0.0000 0.0000 Cd
0.0000 0.0000 10.6544 Pb
0.0000 0.0000 21.0318 Pb
0.0000 0.0000 31.4092 Pb
0.0000 0.0000 5.1953 Se
0.0000 0.0000 15.5406 Se
0.0000 0.0000 26.5231 Se
0.0000 0.0000 36.8683 Se
```

Summary:
**Calculated volume**: 28.2 A^3/atom
**Mass density**: 7.730 g cm⁻³


Model ii:
Below is CdPb3Se4 after structural relaxation, with properties calculated at the PBE-GGA level.

POSCAR file:
```
CdPb3Se4
1.0
4.3376 0.0000 0.0000
0.0000 4.3376 0.0000
0.0000 0.0000 12.1214
Cd Pb Se
1 3 4
Cartesian
0.0000 0.0000 0.0000 Cd
0.0000 0.0000 6.0607 Pb
2.1688 2.1688 2.9465 Pb
2.1688 2.1688 9.1749 Pb
0.0000 0.0000 2.8442 Se
0.0000 0.0000 9.2772 Se
2.1688 2.1688 0.0000 Se
2.1688 2.1688 6.0607 Se
```

Summary:
**Calculated volume**: 28.5 A^3/atom
**Mass density**: 7.644 g cm⁻³
**D(E_F)**: 0.1 states/eV per cell


Short version: model ii is the least stable of them.


Model i:
Below is CdSiPb after structural relaxation, with properties calculated at the PBE-GGA level.

POSCAR file:
```
CdSiPb
1.0
4.5028 0.0000 0.0000
-2.2514 3.8995 0.0000
0.0000 0.0000 4.3859
Cd Si Pb
1 1 1
Cartesian
0.0000 0.0000 0.0000 Cd
2.2514 1.2998 4.3707 Si
0.0000 2.5997 2.1877 Pb
```

Summary:
**Calculated volume**: 25.7 A^3/atom
**Mass density**: 7.497 g cm⁻³
**D(E_F)**: 0.7 states/eV per cell


Model ii:
Below is CdSiPb after structural relaxation, with properties calculated at the PBE-GGA level.

POSCAR file:
```
CdSiPb
1.0
-1.5857 1.9806 5.7613
1.5857 -1.9806 5.7613
1.5857 1.9806 -5.7613
Cd Si Pb
1 1 1
Cartesian
0.0000 0.0000 0.0000 Cd
0.0000 0.0000 4.3191 Si
0.0000 0.0000 8.1182 Pb
```

Summary:
**Calculated volume**: 24.1 A^3/atom
**Mass density**: 7.977 g cm⁻³
**D(E_F)**: 1.6 states/eV per cell


Short version: model ii is the least stable of them.


Model i:
Below is CdSiPb2 after structural relaxation, with properties calculated at the PBE-GGA level.

POSCAR file:
```
CdSiPb2
1.0
3.5672 -4.2700 0.0000
3.5672 4.2700 0.0000
-0.1811 0.0000 3.4146
Cd Si Pb
1 1 2
Cartesian
0.0000 0.0000 0.0000 Cd
3.5672 0.0000 0.0000 Si
1.6931 2.1350 1.7073 Pb
1.6931 -2.1350 1.7073 Pb
```

Summary:
**Calculated volume**: 26.0 A^3/atom
**Mass density**: 8.858 g cm⁻³
**D(E_F)**: 1.7 states/eV per cell


Model ii:
Below is CdSiPb2 after structural relaxation, with properties calculated at the PBE-GGA level.

POSCAR file:
```
CdSiPb2
1.0
2.5107 -2.5154 0.0000
2.5107 2.5154 0.0000
0.0000 0.0000 8.3278
Cd Si Pb
1 1 2
Cartesian
0.0000 0.0000 0.0000 Cd
0.0000 0.0000 4.1639 Si
2.5107 0.0000 2.3529 Pb
2.5107 0.0000 5.9749 Pb
```

Summary:
**Calculated volume**: 26.3 A^3/atom
**Mass density**: 8.760 g cm⁻³
**D(E_F)**: 1.8 states/eV per cell


Model iii:
Below is CdSiPb2 after structural relaxation, with properties calculated at the PBE-GGA level.

POSCAR file:
```
CdSiPb2
1.0
4.8761 0.0000 0.0000
0.0000 4.8761 0.0000
0.0000 0.0000 4.3817
Cd Si Pb
1 1 2
Cartesian
0.0000 0.0000 0.0000 Cd
2.4380 2.4380 0.0000 Si
0.0000 2.4380 2.1909 Pb
2.4380 0.0000 2.1909 Pb
```

Summary:
**Calculated volume**: 26.0 A^3/atom
**Mass density**: 8.844 g cm⁻³
**D(E_F)**: 2.2 states/eV per cell


Model iv:
Below is CdSiPb2 after structural relaxation, with properties calculated at the PBE-GGA level.

POSCAR file:
```
CdSiPb2
1.0
-1.8383 2.1130 6.9959
1.8383 -2.1130 6.9959
1.8383 2.1130 -6.9959
Cd Si Pb
1 1 2
Cartesian
0.0000 0.0000 0.0000 Cd
0.0000 0.0000 6.9959 Si
1.8383 0.0000 4.5158 Pb
0.0000 2.1130 2.4801 Pb
```

Summary:
**Calculated volume**: 27.2 A^3/atom
**Mass density**: 8.477 g cm⁻³
**D(E_F)**: 1.8 states/eV per cell


Short version: model iii is the least stable of them.


Model i:
Below is CdSiPb2 after structural relaxation, with properties calculated at the PBE-GGA level.

POSCAR file:
```
CdSiPb2
1.0
1.7402 1.0047 10.0913
-1.7402 1.0047 10.0913
0.0000 -2.0094 10.0913
Cd Si Pb
1 1 2
Cartesian
0.0000 0.0000 0.0000 Cd
0.0000 0.0000 22.1832 Si
0.0000 0.0000 7.4742 Pb
0.0000 0.0000 14.2619 Pb
```

Summary:
**Calculated volume**: 26.5 A^3/atom
**Mass density**: 8.704 g cm⁻³
**D(E_F)**: 1.1 states/eV per cell


Model ii:
Below is CdSiPb2 after structural relaxation, with properties calculated at the PBE-GGA level.

POSCAR file:
```
CdSiPb2
1.0
-3.4033 3.4033 5.9812
3.4033 -3.4033 5.9812
3.4033 3.4033 -5.9812
Cd Si Pb
2 2 4
Cartesian
0.0000 0.0000 0.0000 Cd
0.0000 3.4033 2.9906 Cd
3.4033 0.0000 2.9906 Si
0.0000 0.0000 5.9812 Si
1.7016 -1.4932 4.4859 Pb
1.9101 1.7016 1.4953 Pb
1.7016 4.8965 -1.4953 Pb
1.4932 1.7016 7.4765 Pb
```

Summary:
**Calculated volume**: 34.6 A^3/atom
**Mass density**: 6.650 g cm⁻³
**D(E_F)**: 2.1 states/eV per cell


Short version: model ii is the least stable of them.


Model i:
Below is CdSiPb2 after structural relaxation, with properties calculated at the PBE-GGA level.

POSCAR file:
```
CdSiPb2
1.0
3.6301 0.0000 0.0000
0.0000 3.8497 0.0000
0.0000 0.0000 7.4927
Cd Si Pb
1 1 2
Cartesian
0.0000 0.0000 0.0000 Cd
1.8151 1.9249 6.0863 Si
0.0000 0.0000 4.4408 Pb
1.8151 1.9249 1.8014 Pb
```

Summary:
**Calculated volume**: 26.2 A^3/atom
**Mass density**: 8.800 g cm⁻³
**D(E_F)**: 2.3 states/eV per cell


Model ii:
Below is CdSiPb2 after structural relaxation, with properties calculated at the PBE-GGA level.

POSCAR file:
```
CdSiPb2
1.0
1.7221 0.9942 10.4291
-1.7221 0.9942 10.4291
0.0000 -1.9885 10.4291
Cd Si Pb
1 1 2
Cartesian
0.0000 0.0000 0.0000 Cd
0.0000 0.0000 15.6437 Si
0.0000 0.0000 7.5053 Pb
0.0000 0.0000 23.7821 Pb
```

Summary:
**Calculated volume**: 26.8 A^3/atom
**Mass density**: 8.600 g cm⁻³
**D(E_F)**: 1.2 states/eV per cell


Model iii:
Below is CdSiPb2 after structural relaxation, with properties calculated at the PBE-GGA level.

POSCAR file:
```
CdSiPb2
1.0
-1.7300 2.7388 5.4917
1.7300 -2.7388 5.4917
1.7300 2.7388 -5.4917
Cd Si Pb
1 1 2
Cartesian
0.0000 0.0000 0.0000 Cd
0.0000 2.7388 3.2357 Si
1.7300 0.0000 2.9889 Pb
0.0000 0.0000 6.2311 Pb
```

Summary:
**Calculated volume**: 26.0 A^3/atom
**Mass density**: 8.853 g cm⁻³
**D(E_F)**: 2.0 states/eV per cell


Model iv:
Below is CdSiPb2 after structural relaxation, with properties calculated at the PBE-GGA level.

POSCAR file:
```
CdSiPb2
1.0
0.0000 3.7285 3.7285
3.7285 0.0000 3.7285
3.7285 3.7285 0.0000
Cd Si Pb
1 1 2
Cartesian
0.0000 0.0000 0.0000 Cd
3.7285 3.7285 3.7285 Si
1.8642 1.8642 1.8642 Pb
5.5927 5.5927 5.5927 Pb
```

Summary:
**Calculated volume**: 25.9 A^3/atom
**Mass density**: 8.889 g cm⁻³
**D(E_F)**: 1.8 states/eV per cell


Short version: model iv is the least stable of them.


Model i:
Below is CdSiPb2 after structural relaxation, with properties calculated at the PBE-GGA level.

POSCAR file:
```
CdSiPb2
1.0
0.0000 3.7485 3.7485
3.7485 0.0000 3.7485
3.7485 3.7485 0.0000
Cd Si Pb
1 1 2
Cartesian
0.0000 0.0000 0.0000 Cd
1.8743 1.8743 1.8743 Si
3.7485 3.7485 3.7485 Pb
5.6228 5.6228 5.6228 Pb
```

Summary:
**Calculated volume**: 26.3 A^3/atom
**Mass density**: 8.747 g cm⁻³
**D(E_F)**: 3.7 states/eV per cell


Model ii:
Below is CdSiPb2 after structural relaxation, with properties calculated at the PBE-GGA level.

POSCAR file:
```
CdSiPb2
1.0
-2.2813 2.2813 5.0132
2.2813 -2.2813 5.0132
2.2813 2.2813 -5.0132
Cd Si Pb
1 1 2
Cartesian
0.0000 0.0000 0.0000 Cd
0.0000 2.2813 2.5066 Si
2.2813 0.0000 2.5066 Pb
0.0000 0.0000 5.0132 Pb
```

Summary:
**Calculated volume**: 26.1 A^3/atom
**Mass density**: 8.829 g cm⁻³
**D(E_F)**: 2.1 states/eV per cell


Short version: model i is the least stable of them.